# GGA-PBE NbZn5Ir6, relaxed
# formation enthalpy at 0 K	-3.25	eV/f.u.
# ρ	15.10	Mg/m³
# total DFT energy (no corrections)	-6.0717	eV/atom
data_NbZn5Ir6
_space_group_name_H-M_alt 'P 1 2/m 1'
_space_group_IT_number 10
_cell_length_a 4.330
_cell_length_b 6.175
_cell_length_c 6.817
_cell_angle_alpha 90.00
_cell_angle_beta 108.28
_cell_angle_gamma 90.00
loop_
_space_group_symop_operation_xyz
'x,y,z'
'-x,-y,-z'
'-x,y,-z'
'x,-y,z'
loop_
_atom_site_label
_atom_site_type_symbol
_atom_site_fract_x
_atom_site_fract_y
_atom_site_fract_z
Nb1 Nb 0.000 0.000 0.000
Zn1 Zn 0.000 0.500 0.000
Zn2 Zn 0.333 0.000 0.666
Zn3 Zn 0.333 0.500 0.668
Ir1 Ir 0.169 0.253 0.336
Ir2 Ir 0.500 0.256 0.000